Entry 1:
Material: ScNb3I
Method: DFT, PBE-GGA
State: optimized geometry

uncorrected energy = -5.924 eV/atom
V = 118.7 Å³/f.u.
space-group type = Pm-3m, No. 221

a = 4.9148 Å, b = 4.9148 Å, c = 4.9148 Å
α = 90.00°, β = 90.00°, γ = 90.00°
Fractional coordinates of all 5 atoms:
Nb (0.5000, 0.0000, 0.0000)
Nb (0.0000, 0.0000, 0.5000)
Nb (0.0000, 0.5000, 0.0000)
Sc (0.0000, 0.0000, 0.0000)
I (0.5000, 0.5000, 0.5000)

Entry 2:
Material: PaCuGeN
Method: DFT, PBE-GGA
State: optimized geometry

uncorrected energy = -7.576 eV/atom
V = 63.3 Å³/f.u.
space-group type = P4/nmm, No. 129

a = 3.9956 Å, b = 3.9956 Å, c = 7.9275 Å
α = 90.00°, β = 90.00°, γ = 90.00°
Fractional coordinates of all 8 atoms:
Pa (0.5000, 0.0000, 0.1448)
Pa (0.0000, 0.5000, 0.8552)
Ge (0.5000, 0.0000, 0.6732)
Ge (0.0000, 0.5000, 0.3268)
N (0.5000, 0.5000, 0.0000)
N (0.0000, 0.0000, 0.0000)
Cu (0.5000, 0.5000, 0.5000)
Cu (0.0000, 0.0000, 0.5000)

Entry 3:
Material: Er3SnRh2
Method: DFT, PBE-GGA
State: optimized geometry

formation energy from the elements = -0.834 eV/atom
V = 130.9 Å³/f.u.
space-group type = P4/mmm, No. 123

a = 3.3765 Å, b = 3.3765 Å, c = 11.4796 Å
α = 90.00°, β = 90.00°, γ = 90.00°
Fractional coordinates of all 6 atoms:
Er (0.0000, 0.0000, 0.2992)
Er (0.0000, 0.0000, 0.0000)
Er (0.0000, 0.0000, 0.7008)
Sn (0.5000, 0.5000, 0.5000)
Rh (0.5000, 0.5000, 0.8464)
Rh (0.5000, 0.5000, 0.1536)

Entry 4:
Material: LiMg3Sn3
Method: DFT, PBE-GGA
State: optimized geometry

formation energy from the elements = -0.120 eV/atom
V = 167.7 Å³/f.u.
space-group type = C2/m, No. 12

a = 6.9580 Å, b = 6.9580 Å, c = 6.9319 Å
α = 89.07°, β = 89.07°, γ = 88.93°
Fractional coordinates of all 14 atoms:
Sn (0.4979, 0.0010, 0.7608)
Sn (0.5021, 0.9990, 0.2392)
Sn (0.0014, 0.0014, 0.7534)
Sn (0.0010, 0.4979, 0.7608)
Sn (0.9986, 0.9986, 0.2466)
Sn (0.9990, 0.5021, 0.2392)
Li (0.2469, 0.2469, 0.0002)
Li (0.7531, 0.7531, 0.9998)
Mg (0.2745, 0.7255, 0.5000)
Mg (0.3358, 0.6642, 0.0000)
Mg (0.7255, 0.2745, 0.5000)
Mg (0.7227, 0.7227, 0.5066)
Mg (0.6642, 0.3358, 0.0000)
Mg (0.2773, 0.2773, 0.4934)

Entry 5:
Material: VPBrN
Method: DFT, PBE-GGA
State: optimized geometry

uncorrected energy = -6.292 eV/atom
V = 67.5 Å³/f.u.
space-group type = Amm2, No. 38

a = 2.9421 Å, b = 2.9049 Å, c = 15.7945 Å
α = 90.00°, β = 90.00°, γ = 90.00°
Fractional coordinates of all 8 atoms:
P (0.0000, 0.0000, 0.4659)
P (0.0000, 0.5000, 0.9659)
Br (0.5000, 0.5000, 0.6954)
Br (0.5000, 0.0000, 0.1954)
V (0.5000, 0.0000, 0.8215)
V (0.5000, 0.5000, 0.3215)
N (0.0000, 0.5000, 0.8575)
N (0.0000, 0.0000, 0.3575)

Entry 6:
Material: Ac7DyY2
Method: DFT, PBE-GGA
State: optimized geometry

formation energy from the elements = 0.645 eV/atom
V = 509.8 Å³/f.u.
space-group type = Cmmm, No. 65

a = 6.0883 Å, b = 9.7016 Å, c = 9.7016 Å
α = 62.84°, β = 90.00°, γ = 90.00°
Fractional coordinates of all 10 atoms:
Ac (0.0000, 0.2375, 0.2375)
Ac (0.5000, 0.0626, 0.6944)
Ac (0.0000, 0.7625, 0.7625)
Ac (0.5000, 0.3056, 0.9374)
Ac (0.5000, 0.9374, 0.3056)
Ac (0.5000, 0.5000, 0.5000)
Ac (0.5000, 0.6944, 0.0626)
Dy (0.0000, 0.0000, 0.0000)
Y (0.5000, 0.2977, 0.2977)
Y (0.5000, 0.7023, 0.7023)

Entry 7:
Material: HgMo2Ir
Method: DFT, PBE-GGA
State: optimized geometry

formation energy from the elements = 0.209 eV/atom
V = 67.2 Å³/f.u.
space-group type = P4mm, No. 99

a = 2.8207 Å, b = 2.8207 Å, c = 8.4426 Å
α = 90.00°, β = 90.00°, γ = 90.00°
Fractional coordinates of all 4 atoms:
Mo (0.5000, 0.5000, 0.2376)
Mo (0.0000, 0.0000, 0.9800)
Hg (0.0000, 0.0000, 0.5073)
Ir (0.5000, 0.5000, 0.7751)

Entry 8:
Material: Hg4Bi2Pb
Method: DFT, PBE-GGA
State: optimized geometry

formation energy from the elements = 0.039 eV/atom
V = 205.8 Å³/f.u.
space-group type = Cmmm, No. 65

a = 3.3710 Å, b = 4.5116 Å, c = 13.7165 Å
α = 99.47°, β = 90.00°, γ = 90.00°
Fractional coordinates of all 7 atoms:
Hg (0.5000, 0.0696, 0.1392)
Hg (0.5000, 0.9304, 0.8608)
Hg (0.0000, 0.6325, 0.2650)
Hg (0.0000, 0.3675, 0.7350)
Bi (0.5000, 0.7901, 0.5803)
Bi (0.5000, 0.2099, 0.4197)
Pb (0.0000, 0.5000, 0.0000)

Entry 9:
Material: OsRh2Au
Method: DFT, PBE-GGA
State: optimized geometry

formation energy from the elements = 0.181 eV/atom
V = 60.3 Å³/f.u.
space-group type = Pmmm, No. 47

a = 2.7819 Å, b = 3.8198 Å, c = 5.6712 Å
α = 90.00°, β = 90.00°, γ = 90.00°
Fractional coordinates of all 4 atoms:
Rh (0.0000, 0.0000, 0.7316)
Rh (0.0000, 0.0000, 0.2684)
Au (0.5000, 0.5000, 0.0000)
Os (0.5000, 0.5000, 0.5000)

Entry 10:
Material: LiZn3Cu4
Method: DFT, PBE-GGA
State: optimized geometry

formation energy from the elements = 0.011 eV/atom
V = 106.5 Å³/f.u.
space-group type = Imm2, No. 44

a = 5.5445 Å, b = 5.5445 Å, c = 5.5445 Å
α = 79.07°, β = 127.04°, γ = 125.96°
Fractional coordinates of all 8 atoms:
Cu (0.5833, 0.2508, 0.3326)
Cu (0.0818, 0.7492, 0.3326)
Cu (0.0799, 0.2495, 0.3294)
Cu (0.0799, 0.7505, 0.8304)
Zn (0.8441, 0.0000, 0.8441)
Zn (0.5818, 0.7485, 0.3302)
Zn (0.5818, 0.2515, 0.8333)
Li (0.3184, 0.5000, 0.8184)

Entry 11:
Material: LaGd2Cd
Method: DFT, PBE-GGA
State: optimized geometry

formation energy from the elements = -0.043 eV/atom
V = 118.6 Å³/f.u.
space-group type = Fm-3m, No. 225

a = 5.5145 Å, b = 5.5145 Å, c = 5.5145 Å
α = 60.00°, β = 60.00°, γ = 60.00°
Fractional coordinates of all 4 atoms:
La (0.0000, 0.0000, 0.0000)
Gd (0.2500, 0.2500, 0.2500)
Gd (0.7500, 0.7500, 0.7500)
Cd (0.5000, 0.5000, 0.5000)

Entry 12:
Material: MoSe
Method: DFT, PBE-GGA
State: optimized geometry

uncorrected energy = -7.287 eV/atom
V = 37.0 Å³/f.u.
space-group type = Cm, No. 8

a = 6.3353 Å, b = 6.3353 Å, c = 6.3160 Å
α = 65.57°, β = 65.57°, γ = 28.96°
Fractional coordinates of all 6 atoms:
Mo (0.3464, 0.3464, 0.2644)
Mo (0.0442, 0.0442, 0.9874)
Mo (0.4230, 0.4230, 0.7978)
Se (0.7479, 0.7479, 0.0518)
Se (0.9571, 0.9571, 0.4306)
Se (0.6481, 0.6481, 0.6347)